Entry from the Alexandria database: a geometry-optimized LiNi2PtO4 structure (PBE+U).

Theoretical density: 7.54 g/cm³
M_tot: 3.1 Bohr magnetons per cell
E: -4.946 eV per atom
Crystal system: monoclinic
SG: P2/m

Lattice parameters (Å, degrees): 2.8437 6.0395 5.7450 121.14 90.00 90.00
Last column: nearest neighbours and their distance in Å.
Fractional positions:
O: 0.0000 0.2578 0.6443  3 Ni 1.95-2.02
Pt: 0.0000 0.0000 0.0000  4 O 2.05
Ni: 0.0000 0.5000 0.5000  6 O 2.02-2.16
Ni: 0.5000 0.0000 0.5000  4 O 1.95
O: 0.0000 0.7422 0.3557  3 Ni 1.95-2.02
Li: 0.5000 0.5000 0.0000  2 O 2.02
O: 0.5000 0.2854 0.1769  1 Li 2.02, 2 Pt 2.05, 2 Ni 2.16
O: 0.5000 0.7146 0.8231  1 Li 2.02, 2 Pt 2.05, 2 Ni 2.16